Below is a relaxed structure of TlIrPt2, with properties calculated at the PBE-GGA level.

Unit cell a=4.593 b=4.593 c=4.593 alpha=60.00 beta=60.00 gamma=60.00
Fractional coordinates of all 4 atoms:
Tl: 0.500 0.500 0.500
Ir: 0.000 0.000 0.000
Pt: 0.250 0.250 0.250
Pt: 0.750 0.750 0.750

Computed properties:
The calculation puts the total magnetic moment at 0.0 μB/cell. The polymorph energy (0 for the lowest one) comes out at 153.2 meV per atom.

Below is a relaxed structure of Tl2IrPt, with properties calculated at the PBE-GGA level.

Unit cell a=4.936 b=4.936 c=3.194 alpha=90.09 beta=90.09 gamma=101.77
Fractional coordinates of all 4 atoms:
Ir: 0.500 0.000 0.500
Pt: 0.000 0.500 0.500
Tl: 0.000 0.000 0.000
Tl: 0.500 0.500 0.000

Computed properties:
The calculation puts the total magnetic moment at 0.0 μB/cell. The polymorph energy (0 for the lowest one) comes out at 74.1 meV per atom.

Below is a relaxed structure of Tl2IrPt, with properties calculated at the PBE-GGA level.

Unit cell a=4.185 b=3.897 c=5.515 alpha=68.96 beta=90.00 gamma=90.00
Fractional coordinates of all 4 atoms:
Ir: 0.000 0.698 0.474
Pt: 0.500 0.552 0.773
Tl: 0.000 0.974 0.926
Tl: 0.500 0.275 0.327

Computed properties:
The calculation puts the total magnetic moment at 0.0 μB/cell. The polymorph energy (0 for the lowest one) comes out at 0.0 meV per atom.

Density of states at the Fermi level / states/eV per atom: 0.76; 0.49; 0.73
Energy of formation / eV/atom: 0.3443; 0.3574; 0.2833